# 1
Density functional theory data (PBE) for a relaxed structure of Na4Sc3PbO8.

Geometry as extended XYZ:
```
16
Lattice="6.546 0.000 0.000 0.000 6.702 0.105 -3.273 -3.269 4.632" Properties=species:S:1:pos:R:3 pbc="T T T"
Na 3.273 0.000 0.000
Na 1.637 -1.635 2.316
Na 0.000 0.000 0.000
Na -1.637 -1.635 2.316
Sc 3.273 3.351 0.053
Sc 1.637 1.716 2.368
Sc -1.637 1.716 2.368
Pb 0.000 3.351 0.053
O -1.517 1.617 4.527
O 0.000 3.132 2.380
O 0.000 0.256 2.494
O 1.517 1.617 4.527
O 1.756 1.816 0.210
O 3.273 3.177 2.243
O 3.273 0.301 2.357
O 4.790 1.816 0.210
```

Properties
space group	R-3m, No. 166
formation energy (no corrections)	-2.38	eV/atom


# 2
Density functional theory data (PBE) for a relaxed structure of PrSm3Y3Se8.

Geometry as extended XYZ:
```
15
Lattice="-7.850 2.358 -0.856 3.065 -5.947 -4.814 -1.311 -1.453 8.018" Properties=species:S:1:pos:R:3 pbc="T T T"
Pr -0.655 -0.727 4.009
Sm 0.000 0.000 0.000
Sm 1.532 -2.973 -2.407
Sm -2.393 -1.795 -2.835
Y -4.580 0.452 3.581
Y -3.048 -2.521 1.174
Y 0.877 -3.700 1.602
Se -0.772 -2.782 -0.583
Se -5.324 -2.261 2.931
Se -4.663 -1.478 -0.983
Se -1.434 -3.564 3.331
Se -6.126 1.359 1.315
Se 0.030 -6.402 1.033
Se -2.378 0.234 1.724
Se -3.718 -5.276 0.624
```

Properties
space group	R-3m, No. 166
formation energy (no corrections)	-1.85	eV/atom


Copy entry 1 word for word.
Density functional theory data (PBE) for a relaxed structure of Na4Sc3PbO8.

Geometry as extended XYZ:
```
16
Lattice="6.546 0.000 0.000 0.000 6.702 0.105 -3.273 -3.269 4.632" Properties=species:S:1:pos:R:3 pbc="T T T"
Na 3.273 0.000 0.000
Na 1.637 -1.635 2.316
Na 0.000 0.000 0.000
Na -1.637 -1.635 2.316
Sc 3.273 3.351 0.053
Sc 1.637 1.716 2.368
Sc -1.637 1.716 2.368
Pb 0.000 3.351 0.053
O -1.517 1.617 4.527
O 0.000 3.132 2.380
O 0.000 0.256 2.494
O 1.517 1.617 4.527
O 1.756 1.816 0.210
O 3.273 3.177 2.243
O 3.273 0.301 2.357
O 4.790 1.816 0.210
```

Properties
space group	R-3m, No. 166
formation energy (no corrections)	-2.38	eV/atom